Here is a relaxed La5Pr2Er4 crystal from the Alexandria database. Energies are from PBE.

Computed properties:
The size of the total moment is 0.00 Bohr magnetons per cell. The calculation puts the relative energy among the computed polymorphs at 11.73 kJ/mol of atoms. Its space-group type is Immm, No. 71. The calculation puts the final energy at -4.62 eV per atom. The value obtained for the formation energy from the elements is 0.150 eV per atom.

a b c (Å): 12.8969 12.8969 12.8969
angles (deg): 164.05 137.64 45.54
With the nearest neighbours (Å) after each atom.
Fractional coordinates of all 11 atoms:
La 0.0000 0.0000 0.0000  4 Er 3.46, 2 La 3.58
La 0.0563 0.3564 0.6999  1 Pr 3.49, 3 Er 3.51-3.59, 3 La 3.58-3.73
La 0.3435 0.6436 0.6999  1 Pr 3.49, 3 Er 3.51-3.59, 3 La 3.58-3.73
La 0.6565 0.3564 0.3001  1 Pr 3.49, 3 Er 3.51-3.59, 3 La 3.58-3.73
La 0.9437 0.6436 0.3001  1 Pr 3.49, 3 Er 3.51-3.59, 3 La 3.58-3.73
Pr 0.2678 0.7678 0.5000  1 Er 3.25, 2 La 3.49, 2 Pr 3.58
Pr 0.7322 0.2322 0.5000  1 Er 3.25, 2 La 3.49, 2 Pr 3.58
Er 0.3183 0.5000 0.8183  7 Er 3.35-3.58, 4 La 3.46-3.59
Er 0.4044 0.9044 0.5000  1 Pr 3.25, 6 Er 3.35-3.58, 4 La 3.51
Er 0.5956 0.0956 0.5000  1 Pr 3.25, 6 Er 3.35-3.58, 4 La 3.51
Er 0.6817 0.5000 0.1817  7 Er 3.35-3.58, 4 La 3.46-3.59